The following is a PBE with a Hubbard U calculation of Li4MnOF4 after structural relaxation, from the Alexandria database.

a = 4.094 Å, b = 5.249 Å, c = 5.249 Å
α = 81.25°, β = 67.05°, γ = 67.05°
Sites, in units of the cell vectors:
Li1 0.416 0.373 0.795
Li2 0.789 0.795 0.627
Li3 0.211 0.205 0.373
Li4 0.584 0.627 0.205
Mn1 0.000 0.000 0.000
O1 0.500 0.000 0.000
F1 0.899 0.412 0.790
F2 0.689 0.210 0.412
F3 0.311 0.790 0.588
F4 0.101 0.588 0.210

Results
DFT total energy (eV/atom): -5.36